*one*
A relaxed structure of RbVI2O. Source: Alexandria via LeMat-Bulk, functional GGA+U.

a b c (Å): 6.534 6.534 4.414
angles (deg): 90.00 90.00 90.00
Space group P4/mmm (No. 123)
Symmetry-distinct sites (fractional):
Rb 0.000 0.000 0.000 x1
V 0.500 0.500 0.500 x1
I 0.000 0.500 0.000 x2
O 0.000 0.000 0.500 x1

Summary:
**Density of states at the Fermi level**: 1.156 states/eV per atom

*two*
A relaxed structure of RbVI2O. Source: Alexandria via LeMat-Bulk, functional GGA+U.

a b c (Å): 6.182 6.182 3.788
angles (deg): 90.00 90.00 90.00
Space group P4/mmm (No. 123)
Symmetry-distinct sites (fractional):
Rb 0.000 0.000 0.000 x1
V 0.500 0.500 0.500 x1
I 0.000 0.500 0.500 x2
O 0.500 0.500 0.000 x1

Summary:
**Density of states at the Fermi level**: 0.181 states/eV per atom

What is the least stable structure shown above? It is *one*.